No. 1
Compound: LaSiMo3
Source: the Alexandria database
Functional: PBE-GGA
Structure: relaxed

Cell: 4.689 4.689 4.689 Å, 90.00 90.00 90.00°
Positions (direct):
Mo  0.000  0.000  0.500
Mo  0.000  0.500  0.000
Mo  0.500  0.000  0.000
Si  0.000  0.000  0.000
La  0.500  0.500  0.500

Output
E_form (uncorrected)   0.6877 eV/atom
Offset from the most stable computed form   0.0 meV/atom
Density of states at the Fermi level   7.4 states/eV/f.u.
SG   No. 221

---

No. 2
Compound: LaSiMo2
Source: the Alexandria database
Functional: PBE-GGA
Structure: relaxed

Cell: 7.669 7.669 6.103 Å, 51.07 51.07 90.00°
Positions (direct):
Si  0.500  0.500  0.000
Si  0.250  0.750  0.500
Mo  0.199  0.625  0.250
Mo  0.551  0.125  0.250
Mo  0.875  0.801  0.750
Mo  0.375  0.449  0.750
La  0.000  0.000  0.000
La  0.750  0.250  0.500

Output
E_form (uncorrected)   0.4700 eV/atom
Density of states at the Fermi level   5.2 states/eV/f.u.
SG   No. 122

---

No. 3
Compound: LaSi2Mo
Source: the Alexandria database
Functional: PBE-GGA
Structure: relaxed

Cell: 6.763 6.763 6.763 Å, 149.53 148.58 44.34°
Last column: magnetic moment on the atom in μB.
Positions (direct):
Si  0.284  0.784  0.500  0.00
Si  0.914  0.914  0.000  0.00
Mo  0.766  0.266  0.500  0.27
La  0.537  0.537  0.000  0.09

Output
E_form (uncorrected)   -0.1832 eV/atom
Offset from the most stable computed form   261.7 meV/atom
Density of states at the Fermi level   3.5 states/eV/f.u.
SG   No. 44

---

No. 4
Compound: LaSiMo2
Source: the Alexandria database
Functional: PBE-GGA
Structure: relaxed

Cell: 5.798 5.798 5.798 Å, 147.38 135.58 56.19°
Positions (direct):
Mo  0.733  0.233  0.500
Mo  0.986  0.986  0.000
Si  0.528  0.528  0.000
La  0.253  0.753  0.500

Output
E_form (uncorrected)   0.3228 eV/atom
Density of states at the Fermi level   3.7 states/eV/f.u.
SG   No. 44

---

No. 5
Compound: LaSi2Mo
Source: the Alexandria database
Functional: PBE-GGA
Structure: relaxed

Cell: 4.740 4.740 3.548 Å, 90.00 90.00 106.17°
Positions (direct):
La  0.500  0.000  0.500
Si  0.000  0.000  0.000
Si  0.500  0.500  0.000
Mo  0.000  0.500  0.500

Output
E_form (uncorrected)   0.1917 eV/atom
Offset from the most stable computed form   636.7 meV/atom
Density of states at the Fermi level   3.4 states/eV/f.u.
SG   No. 65

---

No. 6
Compound: LaSi2Mo
Source: the Alexandria database
Functional: PBE-GGA
Structure: relaxed

Cell: 4.706 4.706 4.706 Å, 60.00 60.00 60.00°
Positions (direct):
Si  0.000  0.000  0.000
Si  0.250  0.250  0.250
La  0.500  0.500  0.500
Mo  0.750  0.750  0.750

Output
E_form (uncorrected)   0.3516 eV/atom
Offset from the most stable computed form   796.6 meV/atom
Density of states at the Fermi level   3.6 states/eV/f.u.
SG   No. 216

---

No. 7
Compound: LaSiMo2
Source: the Alexandria database
Functional: PBE-GGA
Structure: relaxed

Cell: 5.314 5.314 5.314 Å, 143.92 118.42 73.50°
Positions (direct):
Mo  0.533  0.533  0.000
Mo  0.967  0.967  0.000
La  0.250  0.750  0.500
Si  0.750  0.250  0.500

Output
E_form (uncorrected)   0.3578 eV/atom
Density of states at the Fermi level   4.9 states/eV/f.u.
SG   No. 71

---

No. 8
Compound: LaSi2Mo
Source: the Alexandria database
Functional: PBE-GGA
Structure: relaxed

Cell: 3.285 3.280 7.614 Å, 64.51 90.00 90.00°
Positions (direct):
Mo  0.500  0.750  0.750
Si  0.000  0.433  0.567
Si  0.000  0.067  0.933
La  0.500  0.250  0.250

Output
E_form (uncorrected)   -0.3646 eV/atom
Offset from the most stable computed form   80.4 meV/atom
Density of states at the Fermi level   2.1 states/eV/f.u.
SG   No. 123

---

> Which of these has the lowest E_form (uncorrected)?

number 8

---

What did the fifth record say?
Compound: LaSi2Mo
Source: the Alexandria database
Functional: PBE-GGA
Structure: relaxed

Cell: 4.740 4.740 3.548 Å, 90.00 90.00 106.17°
Positions (direct):
La  0.500  0.000  0.500
Si  0.000  0.000  0.000
Si  0.500  0.500  0.000
Mo  0.000  0.500  0.500

Output
E_form (uncorrected)   0.1917 eV/atom
Offset from the most stable computed form   636.7 meV/atom
Density of states at the Fermi level   3.4 states/eV/f.u.
SG   No. 65

---

Copy entry 1 word for word.
Compound: LaSiMo3
Source: the Alexandria database
Functional: PBE-GGA
Structure: relaxed

Cell: 4.689 4.689 4.689 Å, 90.00 90.00 90.00°
Positions (direct):
Mo  0.000  0.000  0.500
Mo  0.000  0.500  0.000
Mo  0.500  0.000  0.000
Si  0.000  0.000  0.000
La  0.500  0.500  0.500

Output
E_form (uncorrected)   0.6877 eV/atom
Offset from the most stable computed form   0.0 meV/atom
Density of states at the Fermi level   7.4 states/eV/f.u.
SG   No. 221

---

> Which value of density of states at the Fermi level does entry 2 give?

5.2 states/eV/f.u.